Entry 1:
# SiTcPb2S (PBE, relaxed)
# **ΔE_f (raw)**: 1.06 eV/atom
# **ρ**: 7.34 Mg/m³
# **D(E_F)**: 4.8 states/eV per cell
# **Final energy**: -22.025 eV/cell
# **Crystal system**: tetragonal
data_SiTcPb2S
_chemical_formula_sum 'Si1 Tc1 Pb2 S1'
_cell_length_a 5.4504
_cell_length_b 5.4504
_cell_length_c 4.3616
_cell_angle_alpha 90.00
_cell_angle_beta 90.00
_cell_angle_gamma 90.00
_space_group_name_H-M_alt 'P 4/m m m'
_space_group_IT_number 123
_space_group_name_Hall '-P 4 2'
loop_
_atom_site_label
_atom_site_type_symbol
_atom_site_fract_x
_atom_site_fract_y
_atom_site_fract_z
Si1 Si 0.0000 0.0000 0.0000
Tc1 Tc 0.5000 0.5000 0.5000
Pb1 Pb 0.0000 0.5000 0.0000
S1 S 0.0000 0.0000 0.5000



Entry 2:
# TeRu2W (PBE, relaxed)
# **ΔE_f (raw)**: 0.45 eV/atom
# **ρ**: 12.96 Mg/m³
# **D(E_F)**: 3.6 states/eV per cell
# **Final energy**: -32.831 eV/cell
# **Crystal system**: tetragonal
data_TeRu2W
_chemical_formula_sum 'Te1 Ru2 W1'
_cell_length_a 3.0690
_cell_length_b 3.0690
_cell_length_c 6.9846
_cell_angle_alpha 90.00
_cell_angle_beta 90.00
_cell_angle_gamma 90.00
_space_group_name_H-M_alt 'P 4 m m'
_space_group_IT_number 99
loop_
_space_group_symop_operation_xyz
'x,y,z'
'-y,x,z'
'-x,-y,z'
'y,-x,z'
'-x,y,z'
'y,x,z'
'x,-y,z'
'-y,-x,z'
loop_
_atom_site_label
_atom_site_type_symbol
_atom_site_fract_x
_atom_site_fract_y
_atom_site_fract_z
Te1 Te 0.0000 0.0000 0.0000
Ru1 Ru 0.0000 0.0000 0.5042
Ru2 Ru 0.5000 0.5000 0.7750
W1 W 0.5000 0.5000 0.2839



Entry 3:
# KRu2S2 (PBE, relaxed)
# **ΔE_f (raw)**: -0.58 eV/atom
# **ρ**: 5.10 Mg/m³
# **D(E_F)**: 1.6 states/eV per cell
# **Final energy**: -61.616 eV/cell
# **Crystal system**: tetragonal
data_KRu2S2
_chemical_formula_sum 'K2 Ru4 S4'
_cell_length_a 3.9606
_cell_length_b 3.9606
_cell_length_c 12.6721
_cell_angle_alpha 90.00
_cell_angle_beta 90.00
_cell_angle_gamma 90.00
_space_group_name_H-M_alt 'I 4/m m m'
_space_group_IT_number 139
_space_group_name_Hall '-I 4 2'
loop_
_atom_site_label
_atom_site_type_symbol
_atom_site_fract_x
_atom_site_fract_y
_atom_site_fract_z
K1 K 0.0000 0.0000 0.0000
Ru1 Ru 0.0000 0.5000 0.2500
S1 S 0.0000 0.0000 0.3469



Entry 4:
# SrLi2Tl10 (PBE, relaxed)
# **Formation enthalpy at 0 K**: -0.10 eV per atom
# **ρ**: 9.46 Mg/m³
# **D(E_F)**: 22.6 states/eV per cell
# **Final energy**: -121.769 eV/cell
# **Crystal system**: orthorhombic
data_SrLi2Tl10
_chemical_formula_sum 'Sr4 Li8 Tl40'
_cell_length_a 6.3471
_cell_length_b 15.2231
_cell_length_c 15.5900
_cell_angle_alpha 90.00
_cell_angle_beta 90.00
_cell_angle_gamma 90.00
_space_group_name_H-M_alt 'F m m m'
_space_group_IT_number 69
_space_group_name_Hall '-F 2 2'
loop_
_atom_site_label
_atom_site_type_symbol
_atom_site_fract_x
_atom_site_fract_y
_atom_site_fract_z
Sr1 Sr 0.0000 0.0000 0.0000
Li1 Li 0.2500 0.0000 0.2500
Tl1 Tl 0.0000 0.1027 0.3861
Tl2 Tl 0.0000 0.1683 0.1812
Tl3 Tl 0.2500 0.2500 0.0000



Entry 5:
# Y4HoRu2 (PBE, relaxed)
# **Formation enthalpy at 0 K**: -0.22 eV per atom
# **ρ**: 6.62 Mg/m³
# **D(E_F)**: 14.1 states/eV per cell
# **Final energy**: -101.116 eV/cell
# **Crystal system**: monoclinic
data_Y4HoRu2
_chemical_formula_sum 'Y8 Ho2 Ru4'
_cell_length_a 7.7952
_cell_length_b 6.3492
_cell_length_c 7.9308
_cell_angle_alpha 90.00
_cell_angle_beta 112.63
_cell_angle_gamma 90.00
_space_group_name_H-M_alt 'P 1 21/m 1'
_space_group_IT_number 11
loop_
_space_group_symop_operation_xyz
'x,y,z'
'-x,-y,-z'
'-x,y+1/2,-z'
'x,-y+1/2,z'
loop_
_atom_site_label
_atom_site_type_symbol
_atom_site_fract_x
_atom_site_fract_y
_atom_site_fract_z
Y1 Y 0.1221 0.2500 0.4790
Y2 Y 0.1762 0.7500 0.2537
Y3 Y 0.2584 0.5010 0.9144
Ho1 Ho 0.4723 0.2500 0.3351
Ru1 Ru 0.0882 0.2500 0.1255
Ru2 Ru 0.4782 0.2500 0.7550



Entry 6:
# Er2MgNb (PBE, relaxed)
# **Formation enthalpy at 0 K**: 0.12 eV per atom
# **ρ**: 7.45 Mg/m³
# **D(E_F)**: 5.1 states/eV per cell
# **ΔE to the lowest computed polymorph**: 0.000 eV/atom
# **Final energy**: -20.301 eV/cell
# **Crystal system**: tetragonal
data_Er2MgNb
_chemical_formula_sum 'Er2 Mg1 Nb1'
_cell_length_a 3.3132
_cell_length_b 3.3132
_cell_length_c 9.1674
_cell_angle_alpha 90.00
_cell_angle_beta 90.00
_cell_angle_gamma 90.00
_space_group_name_H-M_alt 'P 4/m m m'
_space_group_IT_number 123
_space_group_name_Hall '-P 4 2'
loop_
_atom_site_label
_atom_site_type_symbol
_atom_site_fract_x
_atom_site_fract_y
_atom_site_fract_z
Er1 Er 0.0000 0.0000 0.2304
Mg1 Mg 0.5000 0.5000 0.5000
Nb1 Nb 0.5000 0.5000 0.0000



What are the V values for these records? In order: 129.6 65.8 198.8 1506.3 362.3 100.6 Å³ per cell.